Record 1
SrCd10Au2: optimized geometry, PBE.

For the total magnetic moment, the calculation gives 0.00 μB/cell. Its calculated formation energy is -175 meV per atom. The theoretical density comes out at 8.94 g cm⁻³. For the density of states at the Fermi level, the calculation gives 5.168 states/eV/f.u.

a b c (Å): 10.0413 7.7668 7.6174
angles (deg): 81.49 49.90 48.61
With the nearest neighbours (Å) after each atom.
Atoms (fractional coordinates):
1 Sr 0.0000 0.0000 0.0000  16 Cd 3.53-3.88, 4 Au 3.81
2 Cd 0.0000 0.5000 0.0000  10 Cd 2.96-3.14
3 Cd 0.0083 0.6485 0.3515  7 Cd 2.99-3.35, 2 Au 3.04
4 Cd 0.2849 0.5034 0.4966  2 Au 2.90, 5 Cd 2.97-3.11
5 Cd 0.3515 0.9917 0.0083  7 Cd 2.99-3.35, 2 Au 3.04
6 Cd 0.4966 0.7151 0.2849  2 Au 2.90, 5 Cd 2.97-3.11
7 Cd 0.5000 0.0000 0.5000  10 Cd 2.96-3.14
8 Cd 0.5034 0.2849 0.7151  2 Au 2.90, 5 Cd 2.97-3.11
9 Cd 0.6485 0.0083 0.9917  7 Cd 2.99-3.35, 2 Au 3.04
10 Cd 0.7151 0.4966 0.5034  2 Au 2.90, 5 Cd 2.97-3.11
11 Cd 0.9917 0.3515 0.6485  7 Cd 2.99-3.35, 2 Au 3.04
12 Au 0.0000 0.0000 0.5000  8 Cd 2.90-3.04, 2 Au 2.96
13 Au 0.5000 0.5000 0.0000  8 Cd 2.90-3.04, 2 Au 2.96


Record 2
BaCa2AcHg4: optimized geometry, PBE.

For the total magnetic moment, the calculation gives 0.00 μB/cell. Its calculated formation energy is -518 meV per atom. The theoretical density comes out at 8.23 g cm⁻³. For the density of states at the Fermi level, the calculation gives 7.370 states/eV/f.u.

a b c (Å): 9.7861 9.7861 9.7861
angles (deg): 33.31 33.31 33.31
With the nearest neighbours (Å) after each atom.
Atoms (fractional coordinates):
1 Ba 0.0000 0.0000 0.0000  8 Hg 3.47-3.51
2 Ca 0.2501 0.2501 0.2501  8 Hg 3.41-3.55
3 Ca 0.7499 0.7499 0.7499  8 Hg 3.41-3.55
4 Ac 0.5000 0.5000 0.5000  8 Hg 3.37-3.42
5 Hg 0.1268 0.1268 0.1268  4 Ca 3.41-3.46, 3 Ac 3.42, 1 Ba 3.51
6 Hg 0.3782 0.3782 0.3782  1 Ac 3.37, 4 Ca 3.41-3.55, 3 Ba 3.47
7 Hg 0.6218 0.6218 0.6218  1 Ac 3.37, 4 Ca 3.41-3.55, 3 Ba 3.47
8 Hg 0.8732 0.8732 0.8732  4 Ca 3.41-3.46, 3 Ac 3.42, 1 Ba 3.51


Record 3
Ba3ScGe2O9: optimized geometry, PBE.

For the total magnetic moment, the calculation gives 0.40 μB/cell. The theoretical density comes out at 6.19 g cm⁻³. For the density of states at the Fermi level, the calculation gives 10.251 states/eV/f.u. The uncorrected formation energy comes out at -2.369 eV/atom.

a b c (Å): 5.7336 5.7336 7.0292
angles (deg): 90.00 90.00 120.00
With the nearest neighbours (Å) after each atom.
Atoms (fractional coordinates):
1 Ba 0.0000 0.0000 0.0000  12 O 2.85-2.87
2 Ba 0.3333 0.6667 0.6720  12 O 2.84-2.92
3 Ba 0.6667 0.3333 0.3280  12 O 2.84-2.92
4 Sc 0.0000 0.0000 0.5000  6 O 2.13
5 Ge 0.3333 0.6667 0.1734  6 O 1.90-2.06
6 Ge 0.6667 0.3333 0.8266  6 O 1.90-2.06
7 O 0.0000 0.5000 0.0000  2 Ge 2.06
8 O 0.1741 0.3482 0.3226  1 Ge 1.90
9 O 0.1741 0.8259 0.3226  1 Ge 1.90
10 O 0.3482 0.1741 0.6774  1 Ge 1.90
11 O 0.5000 0.0000 0.0000  2 Ge 2.06
12 O 0.5000 0.5000 0.0000  2 Ge 2.06
13 O 0.6518 0.8259 0.3226  1 Ge 1.90
14 O 0.8259 0.1741 0.6774  1 Ge 1.90
15 O 0.8259 0.6518 0.6774  1 Ge 1.90


Record 4
FeOs2Rh: optimized geometry, PBE.

For the total magnetic moment, the calculation gives 3.09 μB/cell. Its calculated formation energy is 387 meV per atom. The theoretical density comes out at 15.87 g cm⁻³. For the density of states at the Fermi level, the calculation gives 4.349 states/eV/f.u. As for the energy relative to the lowest polymorph listed for this composition: 308 meV per atom.

a b c (Å): 2.6602 2.6602 9.0406
angles (deg): 90.00 90.00 118.15
With the nearest neighbours (Å) after each atom.
Atoms (fractional coordinates):
1 Fe 0.0000 0.0000 0.0000  4 Os 2.56, 6 Fe 2.66-2.73
2 Os 0.5000 0.5000 0.2398  2 Fe 2.56, 6 Os 2.66-2.73, 2 Rh 2.72
3 Os 0.5000 0.5000 0.7602  2 Fe 2.56, 6 Os 2.66-2.73, 2 Rh 2.72
4 Rh 0.0000 0.0000 0.5000  6 Rh 2.66-2.73, 4 Os 2.72